A relaxed structure of PmNdPa. Source: Alexandria, functional PBE.

Summary:
Its energy relative to the lowest polymorph listed for this composition is 248 meV per atom. Its size of the total moment is 0.00 μB/atom. As for the formation energy: 0.42 eV per atom. The value obtained for the density of states at the Fermi level is 7.98 states/eV per cell. The value obtained for the theoretical density is 9.4 Mg/m³. The crystal system is tetragonal. The space-group type is No. 107.

Cell and atoms, written as POSCAR:
```
PmNdPa
1.0
4.0861 0.0000 0.0000
0.0000 4.0861 0.0000
-2.0431 -2.0431 5.4943
Pa Nd Pm
1 1 1
Cartesian
0.0000 0.0000 3.1059 Pa
2.0431 2.0431 4.8741 Nd
2.0431 2.0431 1.3604 Pm
```

---

A relaxed structure of TiPb3S. Source: Alexandria, functional PBE.

Summary:
Its energy relative to the lowest polymorph listed for this composition is 0 meV per atom. Its size of the total moment is 0.00 μB/atom. The value obtained for the density of states at the Fermi level is 6.85 states/eV per cell. The value obtained for the theoretical density is 7.3 Mg/m³. The raw formation energy comes out at 0.471 eV per atom. The crystal system is cubic. The space-group type is No. 221.

Cell and atoms, written as POSCAR:
```
TiPb3S
1.0
5.4192 0.0000 0.0000
0.0000 5.4192 0.0000
0.0000 0.0000 5.4192
Pb S Ti
3 1 1
Cartesian
0.0000 2.7096 0.0000 Pb
0.0000 0.0000 2.7096 Pb
2.7096 0.0000 0.0000 Pb
2.7096 2.7096 2.7096 S
0.0000 0.0000 0.0000 Ti
```

---

A relaxed structure of K3La2HfS6. Source: Alexandria, functional PBE.

Summary:
Its size of the total moment is 0.00 μB/atom. The value obtained for the density of states at the Fermi level is 4.73 states/eV per cell. The value obtained for the theoretical density is 3.9 Mg/m³. The raw formation energy comes out at -1.730 eV per atom. The crystal system is monoclinic. The space-group type is No. 12.

Cell and atoms, written as POSCAR:
```
K3La2HfS6
1.0
-5.9575 3.3927 -1.8580
0.3709 -3.3663 6.2437
4.4023 6.1622 1.7022
K La Hf S
3 2 1 6
Cartesian
1.4987 0.8612 5.7207 K
-2.6829 5.3274 0.3672 K
-0.5921 3.0943 3.0440 K
-1.7395 -1.1123 3.5419 La
-3.8470 1.1387 0.8438 La
0.0000 0.0000 0.0000 Hf
-1.8128 5.9490 3.5476 S
-3.3819 1.2742 3.7046 S
0.6286 0.2397 2.5404 S
0.1052 3.9004 6.0031 S
2.1976 4.9144 2.3833 S
-1.2895 2.2882 0.0848 S
```

---

A relaxed structure of SrTlCr. Source: Alexandria, functional PBE.

Summary:
Its size of the total moment is 1.53 μB/atom. As for the formation energy: 0.28 eV per atom. The value obtained for the density of states at the Fermi level is 0.67 states/eV per cell. The value obtained for the theoretical density is 6.6 Mg/m³. The crystal system is tetragonal. The space-group type is No. 107.

Cell and atoms, written as POSCAR:
```
SrTlCr
1.0
-5.0761 -1.2204 3.6078
-4.1850 -4.4640 1.6826
1.2501 -1.6125 3.2952
Cr Sr Tl
1 1 1
Cartesian
0.9143 -1.7425 3.3589 Cr
-2.2352 -2.9627 3.9568 Sr
-5.4400 -4.2042 4.5651 Tl
```

---

> What is the formula in the first record?

PmNdPa